P:
Entry from the Alexandria database: a geometry-optimized MgZr2As structure (PBE).

Output
Size of the total moment (μB/f.u.): 0.00
Symmetry: Amm2 (38)
Density (g/cm³): 5.8
Crystal system: orthorhombic

Lattice parameters (Å, degrees): 4.0758 5.6567 5.6567 37.99 90.00 90.00
Positions (direct):
Mg1 0.0000 0.0000 0.0000
Zr1 0.0000 0.2703 0.2703
Zr2 0.5000 0.5781 0.5781
As1 0.5000 0.8460 0.8460

---

Q:
Entry from the Alexandria database: a geometry-optimized MgZr2As structure (PBE).

Output
Size of the total moment (μB/f.u.): 0.00
Symmetry: I-42d (122)
Density (g/cm³): 5.4
Crystal system: tetragonal

Lattice parameters (Å, degrees): 6.1988 6.1988 6.1988 102.90 102.90 123.60
Positions (direct):
Mg1 0.0000 0.0000 0.0000
Mg2 0.7500 0.2500 0.5000
Zr1 0.1550 0.6250 0.0300
Zr2 0.3750 0.4050 0.5300
Zr3 0.5950 0.1250 0.9700
Zr4 0.8750 0.8450 0.4700
As1 0.2500 0.7500 0.5000
As2 0.5000 0.5000 0.0000

---

The least stable of them is Q.